A plane-wave DFT calculation with PBE-GGA was carried out for a relaxed CsKTl2Ni crystal.

## Properties
Energy of formation from the pure elements, eV/f.u.: 0.5
Space group: No. 123

a b c (Å): 5.2520 5.2520 6.2415
angles (deg): 90.00 90.00 90.00
Sites, in units of the cell vectors:
Cs (0.5000, 0.5000, 0.5000)
Ni (0.0000, 0.0000, 0.0000)
Tl (0.0000, 0.5000, 0.0000)
Tl (0.5000, 0.0000, 0.0000)
K (0.0000, 0.0000, 0.5000)

A plane-wave DFT calculation with PBE-GGA was carried out for a relaxed Cs2KZrNi crystal.

## Properties
Energy of formation from the pure elements, eV/f.u.: 6.4
Space group: No. 123

a b c (Å): 6.5269 6.3522 6.5269
angles (deg): 90.00 90.00 90.00
Sites, in units of the cell vectors:
Cs (0.0000, 0.0000, 0.5000)
Cs (0.5000, 0.0000, 0.0000)
Ni (0.0000, 0.0000, 0.0000)
K (0.0000, 0.5000, 0.0000)
Zr (0.5000, 0.5000, 0.5000)

A plane-wave DFT calculation with PBE-GGA was carried out for a relaxed Cs2KNpO6 crystal.

## Properties
Space group: No. 225

a b c (Å): 6.6360 6.6402 6.6415
angles (deg): 59.97 60.00 89.99
Sites, in units of the cell vectors:
Cs (0.2501, 0.7500, 0.4999)
Cs (0.7499, 0.2500, 0.5001)
K (0.0000, 0.0000, 0.0000)
Np (0.5000, 0.5000, 0.0000)
O (0.2907, 0.7091, 0.9999)
O (0.7095, 0.7092, 0.9997)
O (0.2906, 0.2906, 0.4184)
O (0.7093, 0.2909, 0.0001)
O (0.2905, 0.2908, 0.0003)
O (0.7094, 0.7094, 0.5816)

A plane-wave DFT calculation with PBE-GGA was carried out for a relaxed CsK2NpO4 crystal.

## Properties
Space group: No. 12

a b c (Å): 3.6045 6.5340 9.1601
angles (deg): 52.97 78.65 73.99
Sites, in units of the cell vectors:
Cs (0.5000, 0.5000, 0.5000)
K (0.7471, 0.7110, 0.7948)
K (0.2529, 0.2890, 0.2052)
Np (0.0000, 0.0000, 0.0000)
O (0.0981, 0.0432, 0.7607)
O (0.4060, 0.2801, 0.9080)
O (0.9019, 0.9568, 0.2393)
O (0.5940, 0.7199, 0.0920)

A plane-wave DFT calculation with PBE-GGA was carried out for a relaxed Cs2K2NpO6 crystal.

## Properties
Space group: No. 12

a b c (Å): 6.5018 6.5018 7.0886
angles (deg): 100.68 100.68 116.08
Sites, in units of the cell vectors:
Cs (0.8183, 0.1817, 0.0000)
Cs (0.1817, 0.8183, 0.0000)
K (0.3435, 0.6565, 0.5000)
K (0.6565, 0.3435, 0.5000)
Np (0.0000, 0.0000, 0.5000)
O (0.8240, 0.8240, 0.6763)
O (0.0454, 0.3086, 0.6697)
O (0.1760, 0.1760, 0.3237)
O (0.3086, 0.0454, 0.6697)
O (0.9546, 0.6914, 0.3303)
O (0.6914, 0.9546, 0.3303)

A plane-wave DFT calculation with PBE-GGA was carried out for a relaxed CsK2NpO5 crystal.

## Properties
Space group: No. 71

a b c (Å): 4.3959 6.6356 7.3252
angles (deg): 116.93 107.46 90.00
Sites, in units of the cell vectors:
Cs (0.0000, 0.5000, 0.0000)
K (0.2269, 0.2269, 0.4537)
K (0.7731, 0.7731, 0.5463)
Np (0.5000, 0.0000, 0.0000)
O (0.6148, 0.9086, 0.2297)
O (0.3852, 0.0914, 0.7703)
O (0.3852, 0.6789, 0.7703)
O (0.6148, 0.3211, 0.2297)
O (0.0000, 0.0000, 0.0000)

A plane-wave DFT calculation with PBE-GGA was carried out for a relaxed Cs3KNp2O9 crystal.

## Properties
Space group: No. 164

a b c (Å): 6.4321 6.4321 8.0275
angles (deg): 90.00 90.00 120.00
Sites, in units of the cell vectors:
Cs (0.3333, 0.6667, 0.6497)
Cs (0.0000, 0.0000, 0.0000)
Cs (0.6667, 0.3333, 0.3503)
K (0.0000, 0.0000, 0.5000)
Np (0.3333, 0.6667, 0.1440)
Np (0.6667, 0.3333, 0.8560)
O (0.8080, 0.1920, 0.7144)
O (0.8080, 0.6161, 0.7144)
O (0.3839, 0.1920, 0.7144)
O (0.6161, 0.8080, 0.2856)
O (0.1920, 0.3839, 0.2856)
O (0.1920, 0.8080, 0.2856)
O (0.5000, 0.0000, 0.0000)
O (0.0000, 0.5000, 0.0000)
O (0.5000, 0.5000, 0.0000)

A plane-wave DFT calculation with PBE-GGA was carried out for a relaxed CsK2Np2O7 crystal.

## Properties
Space group: No. 139

a b c (Å): 4.3549 4.3549 11.5139
angles (deg): 79.13 79.13 90.00
Sites, in units of the cell vectors:
Cs (0.0000, 0.0000, 0.0000)
K (0.8100, 0.8100, 0.3810)
K (0.1900, 0.1900, 0.6190)
Np (0.5985, 0.5985, 0.8024)
Np (0.4015, 0.4015, 0.1976)
O (0.5000, 0.5000, 0.0000)
O (0.3143, 0.3143, 0.3727)
O (0.6857, 0.6857, 0.6273)
O (0.9000, 0.4000, 0.2008)
O (0.4000, 0.9000, 0.2008)
O (0.6000, 0.1000, 0.7992)
O (0.1000, 0.6000, 0.7992)

A plane-wave DFT calculation with PBE-GGA was carried out for a relaxed Cs2KNpO4 crystal.

## Properties
Space group: No. 10

a b c (Å): 3.6521 6.7964 7.2828
angles (deg): 111.45 90.00 90.00
Sites, in units of the cell vectors:
Cs (0.5000, 0.0000, 0.5000)
Cs (0.0000, 0.5000, 0.5000)
K (0.0000, 0.0000, 0.0000)
Np (0.5000, 0.5000, 0.0000)
O (0.5000, 0.3155, 0.1590)
O (0.5000, 0.6845, 0.8410)
O (0.0000, 0.3120, 0.8206)
O (0.0000, 0.6880, 0.1794)

A plane-wave DFT calculation with PBE-GGA was carried out for a relaxed Cs3K2NpO6 crystal.

## Properties
Space group: No. 12

a b c (Å): 6.7438 6.7438 6.9664
angles (deg): 98.88 98.88 119.99
Sites, in units of the cell vectors:
Cs (0.1710, 0.8290, 0.5000)
Cs (0.8290, 0.1710, 0.5000)
Cs (0.5000, 0.5000, 0.5000)
K (0.3337, 0.6663, 0.0000)
K (0.6663, 0.3337, 0.0000)
Np (0.0000, 0.0000, 0.0000)
O (0.9401, 0.6927, 0.8241)
O (0.8147, 0.8147, 0.1869)
O (0.0599, 0.3073, 0.1759)
O (0.6927, 0.9401, 0.8241)
O (0.1853, 0.1853, 0.8131)
O (0.3073, 0.0599, 0.1759)

A plane-wave DFT calculation with PBE-GGA was carried out for a relaxed Cs2K3NpO6 crystal.

## Properties
Space group: No. 12

a b c (Å): 7.1306 7.1306 6.5013
angles (deg): 100.86 100.86 120.78
Sites, in units of the cell vectors:
Cs (0.3302, 0.6698, 0.0000)
Cs (0.6698, 0.3302, 0.0000)
K (0.1460, 0.8540, 0.5000)
K (0.8540, 0.1460, 0.5000)
K (0.5000, 0.5000, 0.5000)
Np (0.0000, 0.0000, 0.0000)
O (0.9322, 0.7005, 0.7931)
O (0.8240, 0.8240, 0.1871)
O (0.0678, 0.2995, 0.2069)
O (0.7005, 0.9322, 0.7931)
O (0.1760, 0.1760, 0.8129)
O (0.2995, 0.0678, 0.2069)

A plane-wave DFT calculation with PBE-GGA was carried out for a relaxed CsK3Np2S6 crystal.

## Properties
Space group: No. 12

a b c (Å): 4.1677 8.9524 10.1453
angles (deg): 102.54 101.85 90.00
Sites, in units of the cell vectors:
Cs (0.5000, 0.0000, 0.0000)
K (0.5000, 0.5000, 0.0000)
K (0.8356, 0.1599, 0.6712)
K (0.1644, 0.8401, 0.3288)
Np (0.8255, 0.6551, 0.6510)
Np (0.1745, 0.3449, 0.3490)
S (0.3221, 0.8536, 0.6442)
S (0.6835, 0.5574, 0.3671)
S (0.6779, 0.1464, 0.3558)
S (0.0441, 0.2955, 0.0882)
S (0.9559, 0.7045, 0.9118)
S (0.3165, 0.4426, 0.6329)

Short version: DFT total energy = -2.39; -2.14; -6.45; -6.64; -6.20; -6.80; -7.25; -7.81; -6.56; -5.97; -5.99; -5.86 eV per atom, in the order given.